# Sr3Mn2IrO9

Crystalline Sr3Mn2IrO9 at its relaxed geometry (GGA+U, Alexandria via LeMat-Bulk).

Output
The value obtained for the energy is -6.82 eV/atom. The calculation puts the density of states at the Fermi level at 4.494 states/eV/f.u. For the density, the calculation gives 6.25 g/cm3.

a = 5.6127 Å, b = 5.6127 Å, c = 6.9031 Å
α = 90.00°, β = 90.00°, γ = 120.00°
With the nearest neighbours (Å) after each atom.
Fractional coordinates of all 15 atoms:
Sr: 0.0000 0.0000 0.0000  12 O 2.81-2.83
Sr: 0.3333 0.6667 0.6732  12 O 2.78-2.84
Sr: 0.6667 0.3333 0.3268  12 O 2.78-2.84
Mn: 0.3333 0.6667 0.1555  6 O 1.94-2.06
Mn: 0.6667 0.3333 0.8445  6 O 1.94-2.06
Ir: 0.0000 0.0000 0.5000  6 O 1.96
O: 0.0000 0.5000 0.0000  2 Mn 1.94
O: 0.1652 0.3303 0.3376  1 Ir 1.96, 1 Mn 2.06
O: 0.1652 0.8348 0.3376  1 Ir 1.96, 1 Mn 2.06
O: 0.3303 0.1652 0.6624  1 Ir 1.96, 1 Mn 2.06
O: 0.5000 0.0000 0.0000  2 Mn 1.94
O: 0.5000 0.5000 0.0000  2 Mn 1.94
O: 0.6697 0.8348 0.3376  1 Ir 1.96, 1 Mn 2.06
O: 0.8348 0.1652 0.6624  1 Ir 1.96, 1 Mn 2.06
O: 0.8348 0.6697 0.6624  1 Ir 1.96, 1 Mn 2.06